1.
The following is a DFT calculation (PBE-GGA) of VGaAs2 after structural relaxation.

The crystal system is tetragonal. As for the formation energy: -0.05 eV/atom. The value obtained for the size of the total moment is 2.001 μB/f.u.

The structure belongs to space group I-42d (No. 122); the cell edges are 5.728, 5.728 and 11.538 Å and the angles 90.00°, 90.00° and 90.00°. Symmetry generates all atoms from V at (0.000, 0.000, 0.000), Ga at (0.000, 0.000, 0.500) and As at (0.243, 0.250, 0.125).



2.
The following is a DFT calculation (PBE-GGA) of SmBr2 after structural relaxation.

The crystal system is orthorhombic. The uncorrected formation energy is -1.56 eV per atom. The value obtained for the size of the total moment is 0.000 μB/f.u.

The structure belongs to space group Pnma (No. 62); the cell edges are 11.496, 3.714 and 8.242 Å and the angles 90.00°, 90.00° and 90.00°. Symmetry generates all atoms from Sm at (0.176, 0.250, 0.130), Br at (0.098, 0.750, 0.857) and Br at (0.126, 0.750, 0.404).



3.
The following is a DFT calculation (PBE-GGA) of MoPRh2 after structural relaxation.

The crystal system is orthorhombic. As for the formation energy: -0.32 eV/atom. The value obtained for the size of the total moment is 0.000 μB/f.u.

The structure belongs to space group Amm2 (No. 38); the cell edges are 3.789, 2.863 and 10.461 Å and the angles 90.00°, 90.00° and 90.00°. Symmetry generates all atoms from Mo at (0.000, 0.000, 0.000), P at (0.500, 0.000, 0.604), Rh at (0.000, 0.000, 0.732) and Rh at (0.500, 0.000, 0.375).



4.
The following is a DFT calculation (PBE-GGA) of Ca2AgHg4 after structural relaxation.

The crystal system is tetragonal. As for the formation energy: -0.12 eV/atom. The value obtained for the relative energy among the computed polymorphs is 1.21 eV per formula unit. The value obtained for the size of the total moment is 0.000 μB/f.u.

The structure belongs to space group I4/mmm (No. 139); the cell edges are 5.287, 5.287 and 15.875 Å and the angles 90.00°, 90.00° and 90.00°. Symmetry generates all atoms from Ca at (0.000, 0.000, 0.124), Ag at (0.000, 0.000, 0.500), Hg at (0.000, 0.000, 0.317) and Hg at (0.000, 0.500, 0.000).



5.
The following is a DFT calculation (PBE-GGA) of BeAgRh2 after structural relaxation.

The crystal system is monoclinic. As for the formation energy: -0.02 eV/atom. The value obtained for the size of the total moment is 0.000 μB/f.u.

The structure belongs to space group Cm (No. 8); the cell edges are 8.991, 2.798 and 5.104 Å and the angles 90.00°, 120.43° and 90.00°. Symmetry generates all atoms from Be at (0.000, 0.000, 0.000), Ag at (0.267, 0.000, 0.981), Rh at (0.152, 0.500, 0.402) and Rh at (0.443, 0.000, 0.615).



6.
The following is a DFT calculation (PBE-GGA) of RbSn after structural relaxation.

The crystal system is hexagonal. As for the formation energy: 0.67 eV/atom. The value obtained for the size of the total moment is 1.571 μB/f.u.

The structure belongs to space group P6_3/mmc (No. 194); the cell edges are 6.5165, 6.5165 and 7.4449 Å and the angles 90.00°, 90.00° and 120.00°. Symmetry generates all atoms from Rb at (0.3333, 0.6667, 0.2500) and Sn at (0.3333, 0.6667, 0.7500).